Entry one
# Li2TcI PBE relaxed
# ρ = 5.0 g cm⁻³
data_Li2TcI
_symmetry_space_group_name_H-M 'I -4 2 d'
_symmetry_Int_Tables_number 122
_symmetry_space_group_name_Hall 'I -4 2bw'
_cell_length_a 7.634
_cell_length_b 7.634
_cell_length_c 5.399
_cell_angle_alpha 90.00
_cell_angle_beta 90.00
_cell_angle_gamma 90.00
loop_
_atom_site_label
_atom_site_type_symbol
_atom_site_fract_x
_atom_site_fract_y
_atom_site_fract_z
_atom_site_occupancy
Li1 Li 0.242 0.250 0.125 1
Tc1 Tc 0.000 0.000 0.500 1
I1 I 0.000 0.000 0.000 1

***

Entry two
# Li2TcI PBE relaxed
# ρ = 5.4 g cm⁻³
data_Li2TcI
_symmetry_space_group_name_H-M 'F m -3 m'
_symmetry_Int_Tables_number 225
_symmetry_space_group_name_Hall '-F 4 2 3'
_cell_length_a 6.631
_cell_length_b 6.631
_cell_length_c 6.631
_cell_angle_alpha 90.00
_cell_angle_beta 90.00
_cell_angle_gamma 90.00
loop_
_atom_site_label
_atom_site_type_symbol
_atom_site_fract_x
_atom_site_fract_y
_atom_site_fract_z
_atom_site_occupancy
Li1 Li 0.250 0.250 0.250 1
Tc1 Tc 0.000 0.000 0.000 1
I1 I 0.000 0.000 0.500 1

***

Which one sits at the bottom of the stability order? entry two does.

***

Entry one
# LiTc2I PBE relaxed
# ρ = 7.4 g cm⁻³
data_LiTc2I
_symmetry_space_group_name_H-M 'I -4 2 d'
_symmetry_Int_Tables_number 122
_symmetry_space_group_name_Hall 'I -4 2bw'
_cell_length_a 3.652
_cell_length_b 3.652
_cell_length_c 22.063
_cell_angle_alpha 90.00
_cell_angle_beta 90.00
_cell_angle_gamma 90.00
loop_
_atom_site_label
_atom_site_type_symbol
_atom_site_fract_x
_atom_site_fract_y
_atom_site_fract_z
_atom_site_occupancy
Li1 Li 0.000 0.000 0.000 1
Tc1 Tc 0.223 0.250 0.125 1
I1 I 0.000 0.000 0.500 1

***

Entry two
# LiTc2I PBE relaxed
# ρ = 9.1 g cm⁻³
data_LiTc2I
_symmetry_space_group_name_H-M 'F m -3 m'
_symmetry_Int_Tables_number 225
_symmetry_space_group_name_Hall '-F 4 2 3'
_cell_length_a 6.219
_cell_length_b 6.219
_cell_length_c 6.219
_cell_angle_alpha 90.00
_cell_angle_beta 90.00
_cell_angle_gamma 90.00
loop_
_atom_site_label
_atom_site_type_symbol
_atom_site_fract_x
_atom_site_fract_y
_atom_site_fract_z
_atom_site_occupancy
Li1 Li 0.000 0.000 0.000 1
Tc1 Tc 0.250 0.250 0.250 1
I1 I 0.000 0.000 0.500 1

***

Which one sits at the bottom of the stability order? entry two does.

***

Entry one
# Li2TeI PBE relaxed
# ρ = 4.3 g cm⁻³
data_Li2TeI
_symmetry_space_group_name_H-M 'F m -3 m'
_symmetry_Int_Tables_number 225
_symmetry_space_group_name_Hall '-F 4 2 3'
_cell_length_a 7.444
_cell_length_b 7.444
_cell_length_c 7.444
_cell_angle_alpha 90.00
_cell_angle_beta 90.00
_cell_angle_gamma 90.00
loop_
_atom_site_label
_atom_site_type_symbol
_atom_site_fract_x
_atom_site_fract_y
_atom_site_fract_z
_atom_site_occupancy
Li1 Li 0.250 0.250 0.250 1
Te1 Te 0.000 0.000 0.000 1
I1 I 0.000 0.000 0.500 1

***

Entry two
# Li2TeI PBE relaxed
# ρ = 3.7 g cm⁻³
data_Li2TeI
_symmetry_space_group_name_H-M 'R -3 m'
_symmetry_Int_Tables_number 166
_symmetry_space_group_name_Hall '-R 3 2"'
_cell_length_a 4.0349
_cell_length_b 4.0349
_cell_length_c 25.5873
_cell_angle_alpha 90.00
_cell_angle_beta 90.00
_cell_angle_gamma 120.00
loop_
_atom_site_label
_atom_site_type_symbol
_atom_site_fract_x
_atom_site_fract_y
_atom_site_fract_z
_atom_site_occupancy
Li1 Li 0.0000 0.0000 0.1015 1
Te1 Te 0.0000 0.0000 0.0000 1
I1 I 0.0000 0.0000 0.5000 1

***

Entry three
# Li2TeI PBE relaxed
# ρ = 3.5 g cm⁻³
data_Li2TeI
_symmetry_space_group_name_H-M 'I -4 2 d'
_symmetry_Int_Tables_number 122
_symmetry_space_group_name_Hall 'I -4 2bw'
_cell_length_a 6.917
_cell_length_b 6.917
_cell_length_c 10.639
_cell_angle_alpha 90.00
_cell_angle_beta 90.00
_cell_angle_gamma 90.00
loop_
_atom_site_label
_atom_site_type_symbol
_atom_site_fract_x
_atom_site_fract_y
_atom_site_fract_z
_atom_site_occupancy
Li1 Li 0.240 0.250 0.125 1
Te1 Te 0.000 0.000 0.500 1
I1 I 0.000 0.000 0.000 1

***

Which one sits at the bottom of the stability order? entry one does.

***

Entry one
# Li3TeI PBE relaxed
# ρ = 3.1 g cm⁻³
data_Li3TeI
_symmetry_space_group_name_H-M 'P m -3 m'
_symmetry_Int_Tables_number 221
_symmetry_space_group_name_Hall '-P 4 2 3'
_cell_length_a 5.269
_cell_length_b 5.269
_cell_length_c 5.269
_cell_angle_alpha 90.00
_cell_angle_beta 90.00
_cell_angle_gamma 90.00
loop_
_atom_site_label
_atom_site_type_symbol
_atom_site_fract_x
_atom_site_fract_y
_atom_site_fract_z
_atom_site_occupancy
Li1 Li 0.000 0.000 0.500 1
Te1 Te 0.000 0.000 0.000 1
I1 I 0.500 0.500 0.500 1

***

Entry two
# Li3TeI PBE relaxed
# ρ = 3.3 g cm⁻³
data_Li3TeI
_symmetry_space_group_name_H-M 'P 1 21/m 1'
_symmetry_Int_Tables_number 11
_cell_length_a 7.887
_cell_length_b 4.607
_cell_length_c 8.078
_cell_angle_alpha 90.00
_cell_angle_beta 107.20
_cell_angle_gamma 90.00
loop_
_symmetry_equiv_pos_as_xyz
'x,y,z'
'-x,-y,-z'
'-x,y+1/2,-z'
'x,-y+1/2,z'
loop_
_atom_site_label
_atom_site_type_symbol
_atom_site_fract_x
_atom_site_fract_y
_atom_site_fract_z
_atom_site_occupancy
Li1 Li 0.110 0.250 0.127 1
Li2 Li 0.367 0.750 0.375 1
Li3 Li 0.371 0.250 0.888 1
Te1 Te 0.256 0.750 0.021 1
I1 I 0.259 0.250 0.508 1

***

Which one sits at the bottom of the stability order? entry one does.

***

Entry one
# Li2TeI2 PBE relaxed
# ρ = 3.8 g cm⁻³
data_Li2TeI2
_symmetry_space_group_name_H-M 'I 4/m m m'
_symmetry_Int_Tables_number 139
_symmetry_space_group_name_Hall '-I 4 2'
_cell_length_a 4.918
_cell_length_b 4.918
_cell_length_c 14.238
_cell_angle_alpha 90.00
_cell_angle_beta 90.00
_cell_angle_gamma 90.00
loop_
_atom_site_label
_atom_site_type_symbol
_atom_site_fract_x
_atom_site_fract_y
_atom_site_fract_z
_atom_site_occupancy
Li1 Li 0.000 0.500 0.250 1
Te1 Te 0.000 0.000 0.000 1
I1 I 0.000 0.000 0.345 1

***

Entry two
# Li2TeI2 PBE relaxed
# ρ = 4.0 g cm⁻³
data_Li2TeI2
_symmetry_space_group_name_H-M 'P 4/m b m'
_symmetry_Int_Tables_number 127
_symmetry_space_group_name_Hall '-P 4 2ab'
_cell_length_a 9.015
_cell_length_b 9.015
_cell_length_c 4.079
_cell_angle_alpha 90.00
_cell_angle_beta 90.00
_cell_angle_gamma 90.00
loop_
_atom_site_label
_atom_site_type_symbol
_atom_site_fract_x
_atom_site_fract_y
_atom_site_fract_z
_atom_site_occupancy
Li1 Li 0.196 0.304 0.000 1
Te1 Te 0.000 0.000 0.500 1
I1 I 0.160 0.660 0.500 1

***

Which one sits at the bottom of the stability order? entry two does.

***

Entry one
# Li2Te2I PBE relaxed
# ρ = 4.8 g cm⁻³
data_Li2Te2I
_symmetry_space_group_name_H-M 'P 4/m b m'
_symmetry_Int_Tables_number 127
_symmetry_space_group_name_Hall '-P 4 2ab'
_cell_length_a 9.374
_cell_length_b 9.374
_cell_length_c 3.095
_cell_angle_alpha 90.00
_cell_angle_beta 90.00
_cell_angle_gamma 90.00
loop_
_atom_site_label
_atom_site_type_symbol
_atom_site_fract_x
_atom_site_fract_y
_atom_site_fract_z
_atom_site_occupancy
Li1 Li 0.153 0.347 0.000 1
Te1 Te 0.126 0.626 0.500 1
I1 I 0.000 0.000 0.000 1

***

Entry two
# Li2Te2I PBE relaxed
# ρ = 4.8 g cm⁻³
data_Li2Te2I
_symmetry_space_group_name_H-M 'P 4/m b m'
_symmetry_Int_Tables_number 127
_symmetry_space_group_name_Hall '-P 4 2ab'
_cell_length_a 8.863
_cell_length_b 8.863
_cell_length_c 3.509
_cell_angle_alpha 90.00
_cell_angle_beta 90.00
_cell_angle_gamma 90.00
loop_
_atom_site_label
_atom_site_type_symbol
_atom_site_fract_x
_atom_site_fract_y
_atom_site_fract_z
_atom_site_occupancy
Li1 Li 0.135 0.365 0.000 1
Te1 Te 0.172 0.672 0.500 1
I1 I 0.000 0.000 0.500 1

***

Which one sits at the bottom of the stability order? entry two does.

***

Entry one
# LiTeI3 PBE relaxed
# ρ = 3.7 g cm⁻³
data_LiTeI3
_symmetry_space_group_name_H-M 'P m -3 m'
_symmetry_Int_Tables_number 221
_symmetry_space_group_name_Hall '-P 4 2 3'
_cell_length_a 6.159
_cell_length_b 6.159
_cell_length_c 6.159
_cell_angle_alpha 90.00
_cell_angle_beta 90.00
_cell_angle_gamma 90.00
loop_
_atom_site_label
_atom_site_type_symbol
_atom_site_fract_x
_atom_site_fract_y
_atom_site_fract_z
_atom_site_occupancy
Li1 Li 0.000 0.000 0.000 1
Te1 Te 0.500 0.500 0.500 1
I1 I 0.000 0.500 0.500 1

***

Entry two
# LiTeI3 PBE relaxed
# ρ = 4.5 g cm⁻³
data_LiTeI3
_symmetry_space_group_name_H-M 'P -1'
_symmetry_Int_Tables_number 2
_cell_length_a 4.328
_cell_length_b 9.563
_cell_length_c 10.193
_cell_angle_alpha 111.41
_cell_angle_beta 90.02
_cell_angle_gamma 102.88
loop_
_symmetry_equiv_pos_as_xyz
'x,y,z'
'-x,-y,-z'
loop_
_atom_site_label
_atom_site_type_symbol
_atom_site_fract_x
_atom_site_fract_y
_atom_site_fract_z
_atom_site_occupancy
Li1 Li 0.174 0.347 0.486 1
Te1 Te 0.211 0.420 0.886 1
I1 I 0.073 0.140 0.931 1
I2 I 0.321 0.644 0.702 1
I3 I 0.384 0.771 0.375 1

***

Which one sits at the bottom of the stability order? entry one does.

***

Entry one
# LiTiTeI2 PBE relaxed
# ρ = 4.1 g cm⁻³
data_LiTiTeI2
_symmetry_space_group_name_H-M 'P 4/m m m'
_symmetry_Int_Tables_number 123
_symmetry_space_group_name_Hall '-P 4 2'
_cell_length_a 5.771
_cell_length_b 5.771
_cell_length_c 5.340
_cell_angle_alpha 90.00
_cell_angle_beta 90.00
_cell_angle_gamma 90.00
loop_
_atom_site_label
_atom_site_type_symbol
_atom_site_fract_x
_atom_site_fract_y
_atom_site_fract_z
_atom_site_occupancy
Li1 Li 0.000 0.000 0.000 1
Ti1 Ti 0.500 0.500 0.500 1
Te1 Te 0.500 0.500 0.000 1
I1 I 0.000 0.500 0.500 1

***

Entry two
# LiTiTeI2 PBE relaxed
# ρ = 4.9 g cm⁻³
data_LiTiTeI2
_symmetry_space_group_name_H-M 'P 4/m m m'
_symmetry_Int_Tables_number 123
_symmetry_space_group_name_Hall '-P 4 2'
_cell_length_a 5.189
_cell_length_b 5.189
_cell_length_c 5.455
_cell_angle_alpha 90.00
_cell_angle_beta 90.00
_cell_angle_gamma 90.00
loop_
_atom_site_label
_atom_site_type_symbol
_atom_site_fract_x
_atom_site_fract_y
_atom_site_fract_z
_atom_site_occupancy
Li1 Li 0.000 0.000 0.000 1
Ti1 Ti 0.500 0.500 0.500 1
Te1 Te 0.000 0.000 0.500 1
I1 I 0.000 0.500 0.000 1

***

Which one sits at the bottom of the stability order? entry two does.